VASP calculation (PBE) on a relaxed LiSb2WI crystal.

Output
Theoretical density (Mg/m³): 7.43
Crystal system: tetragonal
E_form (uncorrected) (eV/atom): 1.23
Polymorph energy (0 for the lowest one) (eV per atom): 0.791
Calculated volume (Å³ per cell): 125

Cell: 4.8548 4.8548 5.3219 Å, 90.00 90.00 90.00°
Last column: nearest neighbours and their distance in Å.
Positions (direct):
1 I 0.0000 0.0000 0.5000  2 Li 2.66
2 Li 0.0000 0.0000 0.0000  4 Sb 2.43, 2 I 2.66
3 Sb 0.5000 0.0000 0.0000  2 Li 2.43
4 Sb 0.0000 0.5000 0.0000  2 Li 2.43
5 W 0.5000 0.5000 0.5000  4 I 3.43, 8 Sb 3.60